No. 1
Density functional theory data (GGA-PBE) for a relaxed structure of Nd2SmHgN. Values from VASP.

Cell and atoms, written as Quantum ESPRESSO input:
```
&SYSTEM
  ibrav = 0, nat = 5, ntyp = 4
/
ATOMIC_SPECIES
Nd 144.24 Nd.upf
N 14.01 N.upf
Sm 150.36 Sm.upf
Hg 200.59 Hg.upf
CELL_PARAMETERS angstrom
-3.727 2.010 2.528
-3.259 -2.894 -2.503
0.464 -3.562 3.515
ATOMIC_POSITIONS angstrom
Nd 0.232 -1.781 1.758
N 0.000 0.000 0.000
Nd -1.629 -1.447 -1.252
Sm -1.863 1.005 1.264
Hg -3.261 -2.223 1.770
```

The calculation puts the total energy at -5.3522 eV/atom. Its uncorrected formation energy is -3.88 eV/f.u.


No. 2
Density functional theory data (GGA-PBE) for a relaxed structure of Ni3HgN. Values from VASP.

Cell and atoms, written as Quantum ESPRESSO input:
```
&SYSTEM
  ibrav = 0, nat = 10, ntyp = 3
/
ATOMIC_SPECIES
Hg 200.59 Hg.upf
N 14.01 N.upf
Ni 58.69 Ni.upf
CELL_PARAMETERS angstrom
4.900 0.000 -0.009
0.000 4.764 -0.005
2.187 2.384 6.007
ATOMIC_POSITIONS angstrom
Hg 4.238 3.971 3.206
N 1.925 3.579 0.266
N 4.364 1.197 0.139
Ni 1.790 4.213 4.448
Ni 1.025 2.016 0.597
Ni 3.466 2.698 0.640
Ni 1.786 4.210 1.974
Hg 1.789 1.758 3.213
Ni 2.551 6.782 5.823
Ni 5.010 2.701 5.777
```

The calculation puts the total energy at -5.0946 eV/atom. Its uncorrected formation energy is 0.50 eV/f.u.


No. 3
Density functional theory data (GGA-PBE) for a relaxed structure of Ni3HgN. Values from VASP.

Cell and atoms, written as Quantum ESPRESSO input:
```
&SYSTEM
  ibrav = 0, nat = 20, ntyp = 3
/
ATOMIC_SPECIES
Ni 58.69 Ni.upf
N 14.01 N.upf
Hg 200.59 Hg.upf
CELL_PARAMETERS angstrom
12.794 0.000 -1.211
5.584 3.864 -3.110
-5.584 3.864 3.110
ATOMIC_POSITIONS angstrom
Ni 1.994 3.861 -0.695
Ni 10.799 3.867 -0.515
Ni 4.313 2.577 0.025
N 2.493 2.587 0.522
N 10.301 5.141 -1.732
Ni 2.807 3.867 1.810
Hg 0.407 5.051 1.252
Ni 8.446 2.592 -1.260
Ni 2.050 1.272 -0.655
Hg 12.387 2.677 -2.463
Ni 10.744 6.456 -0.556
N 8.889 1.277 -0.084
Ni 8.480 5.151 -1.235
Ni 2.083 6.441 -0.630
Ni 9.986 3.861 -3.020
Ni 10.710 1.287 -0.580
Hg 5.990 4.271 -1.858
Hg 6.803 3.457 0.647
N 3.904 6.451 -1.127
Ni 4.347 5.136 0.050
```

The calculation puts the total energy at -5.0461 eV/atom. Its uncorrected formation energy is 0.74 eV/f.u.


No. 4
Density functional theory data (GGA-PBE) for a relaxed structure of NiHg3N. Values from VASP.

Cell and atoms, written as Quantum ESPRESSO input:
```
&SYSTEM
  ibrav = 0, nat = 5, ntyp = 3
/
ATOMIC_SPECIES
Hg 200.59 Hg.upf
N 14.01 N.upf
Ni 58.69 Ni.upf
CELL_PARAMETERS angstrom
4.929 0.000 0.000
0.000 4.929 0.000
0.000 0.000 4.929
ATOMIC_POSITIONS angstrom
Hg 2.464 0.000 0.000
Hg 0.000 2.464 0.000
N 2.464 2.464 2.464
Hg 0.000 0.000 2.464
Ni 0.000 0.000 0.000
```

The calculation puts the total energy at -1.6114 eV/atom. As for the polymorph energy (0 for the lowest one): 225 meV/atom. Its uncorrected formation energy is 6.96 eV/f.u.


No. 5
Density functional theory data (GGA-PBE) for a relaxed structure of Ni3HgN. Values from VASP.

Cell and atoms, written as Quantum ESPRESSO input:
```
&SYSTEM
  ibrav = 0, nat = 10, ntyp = 3
/
ATOMIC_SPECIES
Ni 58.69 Ni.upf
N 14.01 N.upf
Hg 200.59 Hg.upf
CELL_PARAMETERS angstrom
-0.905 2.723 -0.520
-0.001 -1.215 -6.354
-6.089 -4.969 0.951
ATOMIC_POSITIONS angstrom
Ni -5.700 -3.499 -4.270
N -1.802 -2.244 -4.511
Hg -2.904 -1.987 -1.266
Ni -5.397 -4.542 -2.085
Ni -1.598 1.081 -3.839
Ni -5.396 -4.060 0.438
Ni -1.598 0.599 -6.362
N -5.193 -1.217 -1.413
Hg -4.091 -1.474 -4.657
Ni -1.295 0.038 -1.654
```

The calculation puts the total energy at -4.6796 eV/atom. Its uncorrected formation energy is 2.57 eV/f.u.


No. 6
Density functional theory data (GGA-PBE) for a relaxed structure of Ni3HgN. Values from VASP.

Cell and atoms, written as Quantum ESPRESSO input:
```
&SYSTEM
  ibrav = 0, nat = 10, ntyp = 3
/
ATOMIC_SPECIES
N 14.01 N.upf
Ni 58.69 Ni.upf
Hg 200.59 Hg.upf
CELL_PARAMETERS angstrom
6.258 0.002 0.000
-2.474 4.981 0.000
0.000 0.000 3.796
ATOMIC_POSITIONS angstrom
N 2.154 2.465 0.133
Ni 2.096 2.436 2.031
Ni 2.722 4.299 0.133
N -0.494 1.150 0.134
Ni -0.436 1.179 2.032
Hg -1.681 3.665 2.032
Ni 0.270 2.936 0.133
Hg 0.868 4.931 2.032
Ni 3.959 1.808 0.133
Ni 1.391 0.679 0.133
```

The calculation puts the total energy at -5.1202 eV/atom. Its uncorrected formation energy is 0.37 eV/f.u.


No. 7
Density functional theory data (GGA-PBE) for a relaxed structure of NiHg3N. Values from VASP.

Cell and atoms, written as Quantum ESPRESSO input:
```
&SYSTEM
  ibrav = 0, nat = 5, ntyp = 3
/
ATOMIC_SPECIES
N 14.01 N.upf
Hg 200.59 Hg.upf
Ni 58.69 Ni.upf
CELL_PARAMETERS angstrom
-3.223 -1.883 -2.735
2.705 -3.699 -0.642
-1.926 -2.046 3.677
ATOMIC_POSITIONS angstrom
N 0.000 0.000 0.000
Hg 1.353 -1.850 -0.321
Hg -0.963 -1.023 1.839
Hg -1.612 -0.941 -1.368
Ni -1.222 -3.814 0.150
```

The calculation puts the total energy at -1.8361 eV/atom. As for the polymorph energy (0 for the lowest one): 0 meV/atom. Its uncorrected formation energy is 5.83 eV/f.u.


No. 8
Density functional theory data (GGA-PBE) for a relaxed structure of Ni3HgN. Values from VASP.

Cell and atoms, written as Quantum ESPRESSO input:
```
&SYSTEM
  ibrav = 0, nat = 20, ntyp = 3
/
ATOMIC_SPECIES
N 14.01 N.upf
Ni 58.69 Ni.upf
Hg 200.59 Hg.upf
CELL_PARAMETERS angstrom
-5.816 7.558 -3.497
-6.977 0.493 1.365
-0.490 -2.535 6.643
ATOMIC_POSITIONS angstrom
N -7.307 1.490 2.344
Ni -2.094 0.333 1.051
Hg -9.238 5.546 1.675
Ni -9.763 3.007 4.144
Ni -3.521 2.509 0.367
Ni -5.922 3.861 0.289
Ni -5.639 6.722 -2.471
Ni -7.854 3.311 2.339
N -8.008 3.471 4.346
Hg -4.045 -0.029 2.836
N -5.275 2.045 0.165
Ni -11.189 5.183 3.460
Ni -7.361 1.655 4.222
Ni -5.429 2.205 2.171
Ni -7.645 -1.205 6.981
Ni -7.260 6.061 -0.490
Hg -8.974 1.044 6.259
Ni -6.023 -0.545 5.000
N -5.976 4.027 2.167
Hg -4.309 4.472 -1.748
```

The calculation puts the total energy at -4.9966 eV/atom. Its uncorrected formation energy is 0.99 eV/f.u.


No. 9
Density functional theory data (GGA-PBE) for a relaxed structure of Ni3HgN. Values from VASP.

Cell and atoms, written as Quantum ESPRESSO input:
```
&SYSTEM
  ibrav = 0, nat = 20, ntyp = 3
/
ATOMIC_SPECIES
Hg 200.59 Hg.upf
Ni 58.69 Ni.upf
N 14.01 N.upf
CELL_PARAMETERS angstrom
-18.829 15.006 4.863
-1.995 -1.521 -3.030
5.591 -6.927 -0.204
ATOMIC_POSITIONS angstrom
Hg -7.999 4.196 1.883
Ni -11.717 6.852 0.443
Ni -4.579 2.110 0.679
Ni -10.654 4.448 0.950
Ni -2.922 -2.028 -0.889
Ni -4.035 0.409 -1.380
N -10.771 7.646 1.976
Hg -1.381 0.157 -0.447
Ni -12.311 8.585 2.518
N -4.462 -1.088 -0.347
Ni -3.516 -0.295 1.186
Ni -15.132 8.939 1.644
N 1.439 -3.321 -0.557
Ni 0.494 -4.114 -2.090
Ni -15.727 10.672 3.719
N -16.672 9.878 2.186
Hg -13.852 6.401 2.075
Ni -0.101 -2.381 -0.015
Hg -7.233 2.361 -0.254
Ni -11.198 6.149 3.008
```

The calculation puts the total energy at -5.0781 eV/atom. Its uncorrected formation energy is 0.58 eV/f.u.


No. 10
Density functional theory data (GGA-PBE) for a relaxed structure of Ni3HgN. Values from VASP.

Cell and atoms, written as Quantum ESPRESSO input:
```
&SYSTEM
  ibrav = 0, nat = 10, ntyp = 3
/
ATOMIC_SPECIES
Ni 58.69 Ni.upf
Hg 200.59 Hg.upf
N 14.01 N.upf
CELL_PARAMETERS angstrom
8.672 -0.018 -0.012
0.854 3.703 0.001
0.843 -0.195 3.700
ATOMIC_POSITIONS angstrom
Ni 8.975 0.620 2.984
Hg 7.474 2.921 3.447
Ni 4.290 1.707 0.206
N 4.641 1.625 2.073
Ni 6.539 1.189 1.617
Ni 5.138 3.460 2.057
Hg 2.009 0.283 0.650
N 8.317 0.774 1.190
Ni 2.821 2.044 2.509
Ni 8.980 2.572 1.134
```

The calculation puts the total energy at -5.0795 eV/atom. Its uncorrected formation energy is 0.57 eV/f.u.


No. 11
Density functional theory data (GGA-PBE) for a relaxed structure of Ni3HgN. Values from VASP.

Cell and atoms, written as Quantum ESPRESSO input:
```
&SYSTEM
  ibrav = 0, nat = 10, ntyp = 3
/
ATOMIC_SPECIES
Ni 58.69 Ni.upf
N 14.01 N.upf
Hg 200.59 Hg.upf
CELL_PARAMETERS angstrom
2.772 -1.600 0.000
0.000 3.201 0.000
0.000 0.000 15.087
ATOMIC_POSITIONS angstrom
Ni 0.924 1.600 9.499
Ni 1.848 0.000 1.955
Ni 0.000 0.000 11.315
N 1.848 0.000 3.772
Ni 0.000 0.000 3.772
Hg 0.000 0.000 0.000
Hg 0.000 0.000 7.543
Ni 1.848 0.000 5.588
Ni 0.924 1.600 13.131
N 0.924 1.600 11.315
```

The calculation puts the total energy at -4.9218 eV/atom. Its uncorrected formation energy is 1.36 eV/f.u.


No. 12
Density functional theory data (GGA-PBE) for a relaxed structure of Ni3HgN. Values from VASP.

Cell and atoms, written as Quantum ESPRESSO input:
```
&SYSTEM
  ibrav = 0, nat = 20, ntyp = 3
/
ATOMIC_SPECIES
Ni 58.69 Ni.upf
N 14.01 N.upf
Hg 200.59 Hg.upf
CELL_PARAMETERS angstrom
20.666 0.000 2.006
0.000 4.939 0.000
-6.828 0.000 1.702
ATOMIC_POSITIONS angstrom
Ni 15.925 1.982 2.708
N 7.369 1.210 1.237
N 14.288 1.260 3.091
Ni 1.178 4.613 0.142
Hg -2.827 0.580 2.089
Ni 13.456 2.919 2.509
Ni -2.086 2.958 0.999
N -0.449 3.680 0.617
Hg 2.919 3.050 1.466
Ni 0.383 2.021 1.199
Ni 7.302 0.449 3.052
Ni 11.661 4.451 1.151
Hg 16.666 4.359 1.618
Hg 10.920 1.889 2.241
Ni 6.537 4.490 0.655
Ni 2.178 0.488 2.556
Ni 5.742 2.144 1.711
N 6.470 3.729 2.471
Ni 8.097 2.795 1.996
Ni 12.661 0.326 3.565
```

The calculation puts the total energy at -5.0418 eV/atom. Its uncorrected formation energy is 0.76 eV/f.u.


No. 13
Density functional theory data (GGA-PBE) for a relaxed structure of Ni3HgN. Values from VASP.

Cell and atoms, written as Quantum ESPRESSO input:
```
&SYSTEM
  ibrav = 0, nat = 10, ntyp = 3
/
ATOMIC_SPECIES
Hg 200.59 Hg.upf
Ni 58.69 Ni.upf
N 14.01 N.upf
CELL_PARAMETERS angstrom
-3.055 -1.794 1.015
0.790 -3.560 -3.915
5.258 -3.013 3.800
ATOMIC_POSITIONS angstrom
Hg 1.065 -4.413 -1.257
Ni 4.502 -4.834 1.652
N 4.058 -5.060 -0.064
N -1.066 -3.308 0.965
Hg 1.927 -3.955 2.157
Ni 2.502 -5.927 0.410
Ni 0.490 -2.441 0.490
Ni 4.108 -3.059 3.605
Ni -1.510 -3.533 -0.752
Ni -1.116 -5.309 -2.705
```

The calculation puts the total energy at -4.9782 eV/atom. Its uncorrected formation energy is 1.08 eV/f.u.


No. 14
Density functional theory data (GGA-PBE) for a relaxed structure of Ni3HgN. Values from VASP.

Cell and atoms, written as Quantum ESPRESSO input:
```
&SYSTEM
  ibrav = 0, nat = 20, ntyp = 3
/
ATOMIC_SPECIES
Ni 58.69 Ni.upf
N 14.01 N.upf
Hg 200.59 Hg.upf
CELL_PARAMETERS angstrom
-1.702 0.707 -4.846
5.927 -1.562 -2.310
-1.981 -7.029 -0.330
ATOMIC_POSITIONS angstrom
Ni 0.578 -1.015 -5.898
Ni 1.666 -6.869 -1.588
Ni 2.673 -2.399 -5.449
Ni -1.158 -2.220 -2.690
N -0.385 -7.012 -0.889
Hg -0.991 -3.515 -0.165
Ni -0.430 -5.485 -2.037
N 2.628 -0.872 -6.597
Ni -1.281 -5.132 -4.459
Hg -0.851 0.354 -2.423
N 2.719 -3.925 -4.301
Ni -1.607 -0.439 -5.046
Ni 3.524 -2.752 -3.026
Hg 2.112 -0.427 -3.578
N -0.475 -3.959 -3.185
Ni 1.217 -5.089 -3.944
Ni 1.027 -2.795 -3.542
Ni 3.402 -5.664 -4.796
Ni 3.851 -7.445 -2.440
Hg 1.973 -4.296 -1.320
```

The calculation puts the total energy at -4.9101 eV/atom. Its uncorrected formation energy is 1.42 eV/f.u.


No. 15
Density functional theory data (GGA-PBE) for a relaxed structure of Ni3HgN. Values from VASP.

Cell and atoms, written as Quantum ESPRESSO input:
```
&SYSTEM
  ibrav = 0, nat = 5, ntyp = 3
/
ATOMIC_SPECIES
Ni 58.69 Ni.upf
Hg 200.59 Hg.upf
N 14.01 N.upf
CELL_PARAMETERS angstrom
3.598 0.000 0.000
0.000 3.598 0.000
0.000 0.000 6.490
ATOMIC_POSITIONS angstrom
Ni 1.799 0.000 3.060
Hg 0.000 0.000 0.761
N 1.799 1.799 3.058
Ni 0.000 0.000 4.754
Ni 0.000 1.799 3.060
```

The calculation puts the total energy at -4.7613 eV/atom. Its uncorrected formation energy is 2.16 eV/f.u.


No. 16
Density functional theory data (GGA-PBE) for a relaxed structure of NiHg2N. Values from VASP.

Cell and atoms, written as Quantum ESPRESSO input:
```
&SYSTEM
  ibrav = 0, nat = 8, ntyp = 3
/
ATOMIC_SPECIES
Hg 200.59 Hg.upf
Ni 58.69 Ni.upf
N 14.01 N.upf
CELL_PARAMETERS angstrom
-4.583 -3.572 3.683
5.118 -2.843 3.611
0.127 -1.155 5.462
ATOMIC_POSITIONS angstrom
Hg 0.344 -6.357 10.323
Ni -2.094 -3.967 6.396
Hg 2.461 -2.666 4.241
Ni 0.000 0.000 0.000
N 0.268 -3.208 3.647
Hg 0.516 -3.394 6.987
Hg -1.995 -2.723 3.960
N 2.757 -3.603 6.360
```

The calculation puts the total energy at -2.5437 eV/atom. Its uncorrected formation energy is 4.54 eV/f.u.


No. 17
Density functional theory data (GGA-PBE) for a relaxed structure of Ni3HgN. Values from VASP.

Cell and atoms, written as Quantum ESPRESSO input:
```
&SYSTEM
  ibrav = 0, nat = 10, ntyp = 3
/
ATOMIC_SPECIES
Ni 58.69 Ni.upf
N 14.01 N.upf
Hg 200.59 Hg.upf
CELL_PARAMETERS angstrom
3.845 0.000 3.534
-1.922 3.330 3.534
-1.922 -3.330 3.534
ATOMIC_POSITIONS angstrom
Ni -2.342 -0.868 4.418
Ni 2.342 0.868 6.185
N 0.000 0.000 2.651
Hg 0.000 0.000 5.301
Ni -1.922 1.594 6.185
Ni 0.419 2.462 4.418
Hg 0.000 0.000 0.000
Ni -0.419 -2.462 6.185
N 0.000 0.000 7.952
Ni 1.922 -1.594 4.418
```

The calculation puts the total energy at -4.6891 eV/atom. Its uncorrected formation energy is 2.53 eV/f.u.


No. 18
Density functional theory data (GGA-PBE) for a relaxed structure of Ni3HgN. Values from VASP.

Cell and atoms, written as Quantum ESPRESSO input:
```
&SYSTEM
  ibrav = 0, nat = 10, ntyp = 3
/
ATOMIC_SPECIES
Ni 58.69 Ni.upf
N 14.01 N.upf
Hg 200.59 Hg.upf
CELL_PARAMETERS angstrom
-9.735 -3.432 10.330
-2.645 -4.569 4.894
4.727 4.570 -2.932
ATOMIC_POSITIONS angstrom
Ni -4.582 -1.026 6.948
Ni -2.484 -0.192 4.721
Ni -3.071 -2.406 5.345
N 1.019 3.203 1.003
Ni -5.170 -3.239 7.571
Ni 2.207 2.695 -0.257
N -8.672 -6.634 11.289
Hg -3.690 -4.872 6.002
Ni -9.860 -6.126 12.549
Hg -3.964 1.441 6.291
```

The calculation puts the total energy at -4.9407 eV/atom. Its uncorrected formation energy is 1.27 eV/f.u.


No. 19
Density functional theory data (GGA-PBE) for a relaxed structure of Ni3HgN. Values from VASP.

Cell and atoms, written as Quantum ESPRESSO input:
```
&SYSTEM
  ibrav = 0, nat = 20, ntyp = 3
/
ATOMIC_SPECIES
Ni 58.69 Ni.upf
Hg 200.59 Hg.upf
N 14.01 N.upf
CELL_PARAMETERS angstrom
1.810 0.550 6.940
-3.945 -3.313 5.020
2.664 -5.701 3.485
ATOMIC_POSITIONS angstrom
Ni -0.722 -7.283 8.221
Hg -0.575 -5.565 6.183
Ni 1.795 -5.169 5.019
N 0.066 -1.058 1.931
Ni 2.950 -4.818 9.446
N 1.398 -3.908 3.673
Ni -0.736 -1.584 5.395
Ni 1.001 -2.648 2.327
Ni -1.267 -3.294 10.426
Hg 2.303 -3.633 7.143
N -1.907 -2.714 4.440
Ni 1.251 -1.181 7.223
N 0.971 -0.783 5.400
Ni -1.392 -1.783 2.883
Ni -2.422 -3.645 5.998
Ni 0.692 -0.385 3.578
Ni 1.656 -2.448 4.839
Ni -0.427 -3.847 4.144
Hg -1.001 -2.439 7.910
Hg 0.330 -5.290 9.653
```

The calculation puts the total energy at -5.1891 eV/atom. Its uncorrected formation energy is 0.03 eV/f.u.


No. 20
Density functional theory data (GGA-PBE) for a relaxed structure of Ni3HgN. Values from VASP.

Cell and atoms, written as Quantum ESPRESSO input:
```
&SYSTEM
  ibrav = 0, nat = 10, ntyp = 3
/
ATOMIC_SPECIES
Ni 58.69 Ni.upf
N 14.01 N.upf
Hg 200.59 Hg.upf
CELL_PARAMETERS angstrom
4.119 0.000 0.000
0.000 4.119 0.000
2.059 2.059 9.867
ATOMIC_POSITIONS angstrom
Ni 2.059 3.071 7.399
Ni 1.011 4.119 2.468
N 4.119 2.059 7.124
Hg 0.000 0.000 0.000
Ni 4.119 4.119 6.889
N 4.119 2.059 2.743
Ni 2.059 2.059 2.978
Ni 3.107 4.119 2.468
Hg 2.059 4.119 4.933
Ni 2.059 5.167 7.399
```

The calculation puts the total energy at -4.2853 eV/atom. Its uncorrected formation energy is 4.54 eV/f.u.


What did we get for total moment? Answer: 0.00 0.00 0.00 0.00 0.00 0.00 0.00 0.00 0.00 0.00 0.00 0.00 0.00 0.00 1.23 0.00 0.00 0.00 0.00 2.12 μB per formula unit, in the order shown.